Version 1
A geometry-optimized DyZrGa structure. Source: Alexandria, functional PBE.

abc: 6.688 6.688 6.688
angles: 151.17 151.17 41.23
Sites, in units of the cell vectors:
Dy 0.000 0.000 0.000
Zr 0.308 0.308 0.000
Ga 0.664 0.664 0.000

DOS at the Fermi energy: 3.15 states/eV per cell

=====

Version 2
A geometry-optimized DyZrGa structure. Source: Alexandria, functional PBE.

abc: 5.014 5.014 3.034
angles: 90.00 90.00 120.00
Sites, in units of the cell vectors:
Dy 0.000 0.000 0.000
Zr 0.333 0.667 0.000
Ga 0.667 0.333 0.500

DOS at the Fermi energy: 4.06 states/eV per cell

=====

Version 3
A geometry-optimized DyZrGa structure. Source: Alexandria, functional PBE.

abc: 4.255 4.255 7.886
angles: 90.00 90.00 90.00
Sites, in units of the cell vectors:
Dy 0.250 0.250 0.151
Dy 0.750 0.750 0.849
Zr 0.250 0.750 0.500
Zr 0.750 0.250 0.500
Ga 0.250 0.250 0.760
Ga 0.750 0.750 0.240

DOS at the Fermi energy: 4.60 states/eV per cell

=====

Which structure is the least stable? The one labeled version 2.

=====

Version 1
A geometry-optimized Dy2Zr3Ga4 structure. Source: Alexandria, functional PBE.

abc: 7.530 7.559 7.256
angles: 90.00 107.84 90.00
Sites, in units of the cell vectors:
Dy 0.191 0.173 0.070
Dy 0.191 0.327 0.570
Dy 0.809 0.673 0.430
Dy 0.809 0.827 0.930
Zr 0.248 0.680 0.248
Zr 0.248 0.820 0.748
Zr 0.500 0.000 0.500
Zr 0.500 0.500 0.000
Zr 0.752 0.180 0.252
Zr 0.752 0.320 0.752
Ga 0.080 0.536 0.864
Ga 0.080 0.964 0.364
Ga 0.493 0.124 0.871
Ga 0.493 0.376 0.371
Ga 0.507 0.624 0.629
Ga 0.507 0.876 0.129
Ga 0.920 0.036 0.636
Ga 0.920 0.464 0.136

DOS at the Fermi energy: 19.83 states/eV per cell

=====

Version 2
A geometry-optimized Dy2Zr3Ga4 structure. Source: Alexandria, functional PBE.

abc: 8.392 8.392 8.192
angles: 90.00 90.00 135.98
Sites, in units of the cell vectors:
Dy 0.113 0.887 0.913
Dy 0.387 0.613 0.413
Dy 0.613 0.387 0.587
Dy 0.887 0.113 0.087
Zr 0.000 0.000 0.500
Zr 0.042 0.458 0.750
Zr 0.458 0.042 0.250
Zr 0.500 0.500 0.000
Zr 0.542 0.958 0.750
Zr 0.958 0.542 0.250
Ga 0.183 0.817 0.554
Ga 0.218 0.282 0.750
Ga 0.282 0.218 0.250
Ga 0.317 0.683 0.054
Ga 0.683 0.317 0.946
Ga 0.718 0.782 0.750
Ga 0.782 0.718 0.250
Ga 0.817 0.183 0.446

DOS at the Fermi energy: 15.97 states/eV per cell

=====

Which structure is the least stable? The one labeled version 2.

=====

Version 1
A geometry-optimized GdDy3 structure. Source: Alexandria, functional PBE.

abc: 3.613 5.684 6.262
angles: 90.00 90.00 90.00
Sites, in units of the cell vectors:
Gd 0.000 0.000 0.000
Dy 0.000 0.500 0.335
Dy 0.500 0.000 0.502
Dy 0.500 0.500 0.834

DOS at the Fermi energy: 7.77 states/eV per cell

=====

Version 2
A geometry-optimized GdDy3 structure. Source: Alexandria, functional PBE.

abc: 5.020 5.020 5.020
angles: 90.00 90.00 90.00
Sites, in units of the cell vectors:
Gd 0.000 0.000 0.000
Dy 0.000 0.500 0.500
Dy 0.500 0.000 0.500
Dy 0.500 0.500 0.000

DOS at the Fermi energy: 6.61 states/eV per cell

=====

Which structure is the least stable? The one labeled version 2.

=====

Version 1
A geometry-optimized GdDy3 structure. Source: Alexandria, functional PBE.

abc: 6.148 6.148 6.148
angles: 131.77 131.77 70.59
Sites, in units of the cell vectors:
Gd 0.000 0.000 0.000
Dy 0.250 0.750 0.500
Dy 0.500 0.500 0.000
Dy 0.750 0.250 0.500

DOS at the Fermi energy: 6.30 states/eV per cell

=====

Version 2
A geometry-optimized GdDy3 structure. Source: Alexandria, functional PBE.

abc: 5.665 5.665 5.665
angles: 60.00 60.00 60.00
Sites, in units of the cell vectors:
Gd 0.000 0.000 0.000
Dy 0.250 0.250 0.250
Dy 0.500 0.500 0.500
Dy 0.750 0.750 0.750

DOS at the Fermi energy: 7.83 states/eV per cell

=====

Which structure is the least stable? The one labeled version 2.

=====

Version 1
A geometry-optimized GdDy structure. Source: Alexandria, functional PBE.

abc: 3.611 3.611 5.739
angles: 90.00 90.00 120.00
Sites, in units of the cell vectors:
Gd 0.000 0.000 0.000
Dy 0.333 0.667 0.500

DOS at the Fermi energy: 3.73 states/eV per cell

=====

Version 2
A geometry-optimized GdDy structure. Source: Alexandria, functional PBE.

abc: 3.616 5.756 6.262
angles: 90.00 90.00 90.00
Sites, in units of the cell vectors:
Gd 0.250 0.250 0.084
Gd 0.750 0.750 0.916
Dy 0.250 0.750 0.418
Dy 0.750 0.250 0.582

DOS at the Fermi energy: 6.93 states/eV per cell

=====

Which structure is the least stable? The one labeled version 1.

=====

Version 1
A geometry-optimized GdDy2 structure. Source: Alexandria, functional PBE.

abc: 6.580 6.580 6.580
angles: 60.00 60.00 60.00
Sites, in units of the cell vectors:
Gd 0.125 0.125 0.125
Gd 0.875 0.875 0.875
Dy 0.000 0.500 0.500
Dy 0.500 0.000 0.500
Dy 0.500 0.500 0.000
Dy 0.500 0.500 0.500

DOS at the Fermi energy: 15.65 states/eV per cell

=====

Version 2
A geometry-optimized GdDy2 structure. Source: Alexandria, functional PBE.

abc: 7.930 7.930 7.930
angles: 154.05 154.05 37.03
Sites, in units of the cell vectors:
Gd 0.000 0.000 0.000
Dy 0.332 0.332 0.000
Dy 0.668 0.668 0.000

DOS at the Fermi energy: 4.66 states/eV per cell

=====

Which structure is the least stable? The one labeled version 1.

=====

Version 1
A geometry-optimized Gd2DyGe structure. Source: Alexandria, functional PBE.

abc: 3.960 3.960 6.872
angles: 90.00 90.00 90.00
Sites, in units of the cell vectors:
Gd 0.000 0.000 0.212
Gd 0.000 0.000 0.788
Dy 0.500 0.500 0.500
Ge 0.500 0.500 0.000

DOS at the Fermi energy: 5.24 states/eV per cell

=====

Version 2
A geometry-optimized Gd2DyGe structure. Source: Alexandria, functional PBE.

abc: 11.761 11.761 11.761
angles: 17.10 17.10 17.10
Sites, in units of the cell vectors:
Gd 0.084 0.084 0.084
Gd 0.916 0.916 0.916
Dy 0.500 0.500 0.500
Ge 0.000 0.000 0.000

DOS at the Fermi energy: 4.97 states/eV per cell

=====

Version 3
A geometry-optimized Gd2DyGe structure. Source: Alexandria, functional PBE.

abc: 4.677 4.677 4.739
angles: 90.00 90.00 90.00
Sites, in units of the cell vectors:
Gd 0.000 0.500 0.000
Gd 0.500 0.000 0.000
Dy 0.000 0.000 0.500
Ge 0.500 0.500 0.500

DOS at the Fermi energy: 5.19 states/eV per cell

=====

Which structure is the least stable? The one labeled version 2.

=====

Version 1
A geometry-optimized Gd2DyH structure. Source: Alexandria, functional PBE.

abc: 8.790 8.790 8.790
angles: 23.74 23.74 23.74
Sites, in units of the cell vectors:
Gd 0.222 0.222 0.222
Gd 0.778 0.778 0.778
Dy 0.000 0.000 0.000
H 0.500 0.500 0.500

DOS at the Fermi energy: 4.09 states/eV per cell

=====

Version 2
A geometry-optimized Gd2DyH structure. Source: Alexandria, functional PBE.

abc: 3.350 3.350 8.558
angles: 90.00 90.00 90.00
Sites, in units of the cell vectors:
Gd 0.000 0.000 0.188
Gd 0.000 0.000 0.812
Dy 0.500 0.500 0.500
H 0.500 0.500 0.000

DOS at the Fermi energy: 4.39 states/eV per cell

=====

Which structure is the least stable? The one labeled version 2.

=====

Version 1
A geometry-optimized GdDyHf structure. Source: Alexandria, functional PBE.

abc: 3.388 3.388 8.462
angles: 90.00 90.00 120.00
Sites, in units of the cell vectors:
Gd 0.000 0.000 0.000
Dy 0.667 0.333 0.378
Hf 0.333 0.667 0.687

DOS at the Fermi energy: 3.89 states/eV per cell

=====

Version 2
A geometry-optimized GdDyHf structure. Source: Alexandria, functional PBE.

abc: 7.851 7.851 7.851
angles: 155.29 155.29 35.22
Sites, in units of the cell vectors:
Gd 0.000 0.000 0.000
Dy 0.308 0.308 0.000
Hf 0.656 0.656 0.000

DOS at the Fermi energy: 4.39 states/eV per cell

=====

Which structure is the least stable? The one labeled version 1.

=====

Version 1
A geometry-optimized GdDy2Hf structure. Source: Alexandria, functional PBE.

abc: 3.955 3.955 7.460
angles: 90.00 90.00 90.00
Sites, in units of the cell vectors:
Gd 0.000 0.000 0.000
Dy 0.500 0.500 0.281
Dy 0.500 0.500 0.719
Hf 0.000 0.000 0.500

DOS at the Fermi energy: 8.19 states/eV per cell

=====

Version 2
A geometry-optimized GdDy2Hf structure. Source: Alexandria, functional PBE.

abc: 4.849 4.849 4.844
angles: 90.00 90.00 90.00
Sites, in units of the cell vectors:
Gd 0.000 0.000 0.000
Dy 0.000 0.500 0.500
Dy 0.500 0.000 0.500
Hf 0.500 0.500 0.000

DOS at the Fermi energy: 4.80 states/eV per cell

=====

Version 3
A geometry-optimized GdDy2Hf structure. Source: Alexandria, functional PBE.

abc: 5.485 5.485 5.485
angles: 60.00 60.00 60.00
Sites, in units of the cell vectors:
Gd 0.000 0.000 0.000
Dy 0.250 0.250 0.250
Dy 0.750 0.750 0.750
Hf 0.500 0.500 0.500

DOS at the Fermi energy: 7.14 states/eV per cell

=====

Which structure is the least stable? The one labeled version 3.

=====

Version 1
A geometry-optimized GdDy2Hg structure. Source: Alexandria, functional PBE.

abc: 5.390 5.390 5.390
angles: 60.00 60.00 60.00
Sites, in units of the cell vectors:
Gd 0.000 0.000 0.000
Dy 0.250 0.250 0.250
Dy 0.750 0.750 0.750
Hg 0.500 0.500 0.500

DOS at the Fermi energy: 6.60 states/eV per cell

=====

Version 2
A geometry-optimized GdDy2Hg structure. Source: Alexandria, functional PBE.

abc: 4.832 4.832 4.772
angles: 90.00 90.00 90.00
Sites, in units of the cell vectors:
Gd 0.000 0.000 0.000
Dy 0.000 0.500 0.500
Dy 0.500 0.000 0.500
Hg 0.500 0.500 0.000

DOS at the Fermi energy: 5.12 states/eV per cell

=====

Version 3
A geometry-optimized GdDy2Hg structure. Source: Alexandria, functional PBE.

abc: 10.804 10.804 10.804
angles: 19.20 19.20 19.20
Sites, in units of the cell vectors:
Gd 0.000 0.000 0.000
Dy 0.242 0.242 0.242
Dy 0.758 0.758 0.758
Hg 0.500 0.500 0.500

DOS at the Fermi energy: 4.54 states/eV per cell

=====

Version 4
A geometry-optimized GdDy2Hg structure. Source: Alexandria, functional PBE.

abc: 3.604 3.604 8.916
angles: 90.00 90.00 90.00
Sites, in units of the cell vectors:
Gd 0.000 0.000 0.000
Dy 0.500 0.500 0.279
Dy 0.500 0.500 0.721
Hg 0.000 0.000 0.500

DOS at the Fermi energy: 5.49 states/eV per cell

=====

Which structure is the least stable? The one labeled version 1.

=====

Version 1
A geometry-optimized Gd2DyIr structure. Source: Alexandria, functional PBE.

abc: 3.540 3.540 8.674
angles: 90.00 90.00 90.00
Sites, in units of the cell vectors:
Gd 0.000 0.000 0.187
Gd 0.000 0.000 0.813
Dy 0.500 0.500 0.500
Ir 0.500 0.500 0.000

DOS at the Fermi energy: 4.88 states/eV per cell

=====

Version 2
A geometry-optimized Gd2DyIr structure. Source: Alexandria, functional PBE.

abc: 9.636 9.636 9.636
angles: 23.15 23.15 23.15
Sites, in units of the cell vectors:
Gd 0.225 0.225 0.225
Gd 0.775 0.775 0.775
Dy 0.000 0.000 0.000
Ir 0.500 0.500 0.500

DOS at the Fermi energy: 4.89 states/eV per cell

=====

Which structure is the least stable? The one labeled version 2.